No. 1
DFT (PBE) results for crystalline Li2ZrMo at its relaxed geometry.

Magnetization ... 0.000 μB per atom
Mass density ... 4.7 g cm⁻³
Energy above the most stable polymorph in this dataset ... 0.257 eV per atom

a b c (Å): 2.6755 2.6755 9.9654
angles (deg): 90.00 90.00 90.00
Atoms (fractional coordinates):
Li1 0.0000 0.0000 0.0190
Li2 0.0000 0.0000 0.4810
Mo1 0.5000 0.5000 0.2500
Zr1 0.5000 0.5000 0.7500

---

No. 2
DFT (PBE) results for crystalline Er6HgAu5 at its relaxed geometry.

VASP energy ... -4.485 eV/atom
Magnetization ... 0.000 μB per atom
Mass density ... 13.1 g cm⁻³

a b c (Å): 5.0936 7.1354 8.0419
angles (deg): 90.00 71.54 90.00
Atoms (fractional coordinates):
Au1 0.6663 0.5000 0.6675
Au2 0.3386 0.0000 0.3229
Au3 0.0000 0.5000 0.0000
Au4 0.6614 0.0000 0.6771
Au5 0.3337 0.5000 0.3325
Hg1 0.0000 0.0000 0.0000
Er1 0.8304 0.7476 0.3391
Er2 0.8304 0.2524 0.3391
Er3 0.5000 0.2573 0.0000
Er4 0.5000 0.7427 0.0000
Er5 0.1696 0.7476 0.6609
Er6 0.1696 0.2524 0.6609

---

No. 3
DFT (PBE) results for crystalline SiP2RuN at its relaxed geometry.

Uncorrected formation energy ... -0.287 eV per atom
Magnetization ... 0.000 μB per atom
Mass density ... 5.0 g cm⁻³
Energy above the most stable polymorph in this dataset ... 0.040 eV per atom

a b c (Å): 2.9089 4.3322 6.0036
angles (deg): 105.13 90.10 109.55
Atoms (fractional coordinates):
Si1 0.0359 0.1332 0.2722
P1 0.6147 0.2868 0.9499
P2 0.3120 0.6822 0.5297
Ru1 0.8764 0.8097 0.8452
N1 0.4570 0.9739 0.3804

---

No. 4
DFT (PBE) results for crystalline K2UTeS4 at its relaxed geometry.

Uncorrected formation energy ... -0.809 eV per atom
Magnetization ... 0.250 μB per atom
Mass density ... 3.8 g cm⁻³

a b c (Å): 6.8768 6.8768 6.8768
angles (deg): 108.31 110.06 110.06
Atoms (fractional coordinates):
K1 0.5000 0.7500 0.2500
K2 0.0000 0.0000 0.0000
U1 0.5000 0.2500 0.7500
Te1 0.0000 0.5000 0.5000
S1 0.5380 0.2587 0.3896
S2 0.1309 0.2793 0.7413
S3 0.8691 0.6104 0.1484
S4 0.4620 0.8516 0.7207

---

No. 5
DFT (PBE) results for crystalline CeAl4AgAu2 at its relaxed geometry.

VASP energy ... -4.157 eV/atom
Magnetization ... 0.070 μB per atom
Mass density ... 8.2 g cm⁻³

a b c (Å): 4.3927 4.3927 9.4740
angles (deg): 76.60 76.60 60.00
Atoms (fractional coordinates):
Ce1 0.0000 0.0000 0.0000
Al1 0.3994 0.3994 0.8017
Al2 0.8756 0.8756 0.3733
Al3 0.1244 0.1244 0.6267
Al4 0.6006 0.6006 0.1983
Ag1 0.5000 0.5000 0.5000
Au1 0.7562 0.7562 0.7313
Au2 0.2438 0.2438 0.2687

---

No. 6
DFT (PBE) results for crystalline K4Tm3ThSe8 at its relaxed geometry.

Uncorrected formation energy ... -1.688 eV per atom
Magnetization ... 0.000 μB per atom
Mass density ... 5.4 g cm⁻³

a b c (Å): 8.3716 9.0971 8.3716
angles (deg): 117.41 120.00 90.00
Atoms (fractional coordinates):
K1 0.5000 0.0000 0.0000
K2 0.5000 0.0000 0.5000
K3 0.0000 0.0000 0.0000
K4 0.0000 0.0000 0.5000
Tm1 0.5000 0.5000 0.0000
Tm2 0.5000 0.5000 0.5000
Tm3 0.0000 0.5000 0.5000
Th1 0.0000 0.5000 0.0000
Se1 0.2393 0.7078 0.9686
Se2 0.2392 0.7078 0.4785
Se3 0.2659 0.2978 0.5318
Se4 0.7293 0.7078 0.9686
Se5 0.2707 0.2922 0.0314
Se6 0.7341 0.7022 0.4682
Se7 0.7608 0.2922 0.5215
Se8 0.7607 0.2922 0.0314